# 1
# PaZn2CuO6 PBE-GGA relaxed
data_PaZn2CuO6
_chemical_formula_sum 'Pa2 Zn4 Cu2 O12'
_space_group_name_H-M_alt 'C 1 2/m 1'
_space_group_IT_number 12
_cell_length_a 9.9753
_cell_length_b 5.5200
_cell_length_c 5.1844
_cell_angle_alpha 90.00
_cell_angle_beta 111.86
_cell_angle_gamma 90.00
loop_
_space_group_symop_operation_xyz
'x,y,z'
'-x,-y,-z'
'-x,y,-z'
'x,-y,z'
'x+1/2,y+1/2,z'
'-x+1/2,-y+1/2,-z'
'-x+1/2,y+1/2,-z'
'x+1/2,-y+1/2,z'
loop_
_atom_site_label
_atom_site_fract_x
_atom_site_fract_y
_atom_site_fract_z
_atom_site_occupancy
Pa1 0.0000 0.0000 0.0000 1
Zn1 0.2383 0.0000 0.6425 1
Cu1 0.0000 0.5000 0.5000 1
O1 0.0983 0.2697 0.3714 1
O2 0.1926 0.0000 0.9727 1
# Magnetization: 0.000 Bohr magnetons per cell
# VASP energy: -6.448 eV per atom
# Formation energy (no corrections): -1.8588 eV/atom

# 2
# Zr2PaCuO8 PBE-GGA relaxed
data_Zr2PaCuO8
_chemical_formula_sum 'Zr2 Pa1 Cu1 O8'
_space_group_name_H-M_alt 'P -1'
_space_group_IT_number 2
_cell_length_a 4.9584
_cell_length_b 4.9613
_cell_length_c 6.5967
_cell_angle_alpha 85.80
_cell_angle_beta 85.86
_cell_angle_gamma 88.46
loop_
_space_group_symop_operation_xyz
'x,y,z'
'-x,-y,-z'
loop_
_atom_site_label
_atom_site_fract_x
_atom_site_fract_y
_atom_site_fract_z
_atom_site_occupancy
Zr1 0.0173 0.0169 0.2377 1
Pa1 0.5000 0.5000 0.5000 1
Cu1 0.5000 0.5000 0.0000 1
O1 0.1820 0.8120 0.5005 1
O2 0.2027 0.7950 0.0004 1
O3 0.2840 0.2777 0.7280 1
O4 0.3215 0.3195 0.2275 1
# Magnetization: 0.000 Bohr magnetons per cell
# VASP energy: -8.532 eV per atom
# Formation energy (no corrections): -2.6695 eV/atom

Q: What is the formula in the first record?
A: PaZn2CuO6